Compound: LiGa2AsSe
Source: Alexandria
Functional: PBE-GGA
Structure: relaxed

calculated volume	23.7	Å³ per atom
theoretical density	4.21	Mg/m³
raw total energy	-3.33	eV per atom
uncorrected formation energy	-107	meV per atom

abc: 4.990 4.990 4.760
angles: 90.00 90.00 90.00
Atoms (fractional coordinates):
1 Li 0.000 0.000 0.000
2 Ga 0.000 0.500 0.500
3 Ga 0.500 0.000 0.500
4 As 0.000 0.000 0.500
5 Se 0.500 0.500 0.000

=====

Compound: LiGaAs2Se
Source: Alexandria
Functional: PBE-GGA
Structure: relaxed

calculated volume	20.9	Å³ per atom
theoretical density	4.84	Mg/m³
offset from the most stable computed form	0.31	eV per formula unit
raw total energy	-3.17	eV per atom
uncorrected formation energy	372	meV per atom

abc: 4.610 4.610 4.928
angles: 90.00 90.00 90.00
Atoms (fractional coordinates):
1 Li 0.000 0.000 0.000
2 Ga 0.500 0.500 0.500
3 As 0.000 0.500 0.000
4 As 0.500 0.000 0.000
5 Se 0.000 0.000 0.500

=====

Compound: LiGa2SnAs
Source: Alexandria
Functional: PBE-GGA
Structure: relaxed

calculated volume	21.5	Å³ per atom
theoretical density	5.26	Mg/m³
formation energy	0.19	eV/atom
raw total energy	-3.14	eV per atom

abc: 4.780 4.780 4.701
angles: 90.00 90.00 90.00
Atoms (fractional coordinates):
1 Li 0.000 0.000 0.000
2 Ga 0.000 0.500 0.000
3 Ga 0.500 0.000 0.000
4 Sn 0.500 0.500 0.500
5 As 0.000 0.000 0.500

=====

Compound: LiGaSnAs2
Source: Alexandria
Functional: PBE-GGA
Structure: relaxed

calculated volume	28.8	Å³ per atom
theoretical density	3.98	Mg/m³
formation energy	0.48	eV/atom
raw total energy	-3.17	eV per atom

abc: 5.319 5.319 5.096
angles: 90.00 90.00 90.00
Atoms (fractional coordinates):
1 Li 0.000 0.000 0.000
2 Ga 0.500 0.500 0.000
3 Sn 0.000 0.000 0.500
4 As 0.000 0.500 0.500
5 As 0.500 0.000 0.500

=====

Compound: LiY2GaAs
Source: Alexandria
Functional: PBE-GGA
Structure: relaxed

calculated volume	29.4	Å³ per atom
theoretical density	3.72	Mg/m³
formation energy	-0.13	eV/atom
raw total energy	-4.63	eV per atom

abc: 5.451 5.451 4.942
angles: 90.00 90.00 90.00
Atoms (fractional coordinates):
1 Li 0.000 0.000 0.000
2 Y 0.000 0.500 0.500
3 Y 0.500 0.000 0.500
4 Ga 0.500 0.500 0.000
5 As 0.500 0.500 0.500

=====

Compound: LiYGa2As
Source: Alexandria
Functional: PBE-GGA
Structure: relaxed

calculated volume	27.0	Å³ per atom
theoretical density	3.81	Mg/m³
formation energy	0.10	eV/atom
raw total energy	-3.72	eV per atom

abc: 5.009 5.009 5.386
angles: 90.00 90.00 90.00
Atoms (fractional coordinates):
1 Li 0.000 0.000 0.000
2 Y 0.500 0.500 0.000
3 Ga 0.000 0.500 0.500
4 Ga 0.500 0.000 0.500
5 As 0.500 0.500 0.500

=====

Compound: LiZn2GaAs
Source: Alexandria
Functional: PBE-GGA
Structure: relaxed

calculated volume	23.1	Å³ per atom
theoretical density	4.07	Mg/m³
formation energy	0.16	eV/atom
raw total energy	-2.27	eV per atom

abc: 4.953 4.953 4.702
angles: 90.00 90.00 90.00
Atoms (fractional coordinates):
1 Li 0.000 0.000 0.000
2 Zn 0.000 0.500 0.500
3 Zn 0.500 0.000 0.500
4 Ga 0.500 0.500 0.000
5 As 0.000 0.000 0.500

=====

Compound: Mg2GaAs2
Source: Alexandria
Functional: PBE-GGA
Structure: relaxed

calculated volume	21.7	Å³ per atom
theoretical density	4.10	Mg/m³
formation energy	-0.04	eV/atom
offset from the most stable computed form	1.07	eV per formula unit
raw total energy	-3.15	eV per atom

abc: 7.652 7.652 7.652
angles: 150.46 150.46 42.27
Atoms (fractional coordinates):
1 Mg 0.106 0.106 0.000
2 Mg 0.894 0.894 0.000
3 Ga 0.500 0.500 0.000
4 As 0.250 0.750 0.500
5 As 0.750 0.250 0.500

=====

Compound: Mg2GaAs
Source: Alexandria
Functional: PBE-GGA
Structure: relaxed

calculated volume	20.5	Å³ per atom
theoretical density	3.91	Mg/m³
formation energy	-0.32	eV/atom
offset from the most stable computed form	0.21	eV per formula unit
raw total energy	-3.04	eV per atom

abc: 5.483 4.446 6.752
angles: 90.00 94.36 90.00
Atoms (fractional coordinates):
1 Mg 0.117 0.250 0.161
2 Mg 0.278 0.250 0.641
3 Mg 0.722 0.750 0.359
4 Mg 0.883 0.750 0.839
5 Ga 0.370 0.750 0.986
6 Ga 0.630 0.250 0.014
7 As 0.226 0.750 0.378
8 As 0.774 0.250 0.622

=====

Compound: Mg2GaAs
Source: Alexandria
Functional: PBE-GGA
Structure: relaxed

calculated volume	21.2	Å³ per atom
theoretical density	3.78	Mg/m³
formation energy	-0.31	eV/atom
offset from the most stable computed form	0.23	eV per formula unit
raw total energy	-3.03	eV per atom

abc: 6.146 4.087 6.770
angles: 90.00 93.12 90.00
Atoms (fractional coordinates):
1 Mg 0.165 0.250 0.141
2 Mg 0.273 0.750 0.541
3 Mg 0.727 0.250 0.459
4 Mg 0.835 0.750 0.859
5 Ga 0.498 0.250 0.837
6 Ga 0.502 0.750 0.163
7 As 0.082 0.250 0.744
8 As 0.918 0.750 0.256

=====

Compound: Mg3GaAs
Source: Alexandria
Functional: PBE-GGA
Structure: relaxed

calculated volume	24.6	Å³ per atom
theoretical density	2.93	Mg/m³
formation energy	0.22	eV/atom
offset from the most stable computed form	0.85	eV per formula unit
raw total energy	-2.27	eV per atom

abc: 4.976 4.976 4.976
angles: 90.00 90.00 90.00
Atoms (fractional coordinates):
1 Mg 0.000 0.000 0.500
2 Mg 0.000 0.500 0.000
3 Mg 0.500 0.000 0.000
4 Ga 0.000 0.000 0.000
5 As 0.500 0.500 0.500

=====

Compound: MgGaAs3
Source: Alexandria
Functional: PBE-GGA
Structure: relaxed

calculated volume	24.0	Å³ per atom
theoretical density	4.41	Mg/m³
formation energy	0.53	eV/atom
offset from the most stable computed form	0.00	eV per formula unit
raw total energy	-3.19	eV per atom

abc: 4.934 4.934 4.934
angles: 90.00 90.00 90.00
Atoms (fractional coordinates):
1 Mg 0.000 0.000 0.000
2 Ga 0.500 0.500 0.500
3 As 0.000 0.500 0.500
4 As 0.500 0.000 0.500
5 As 0.500 0.500 0.000

=====

Compound: MgGaAs
Source: Alexandria
Functional: PBE-GGA
Structure: relaxed

calculated volume	21.3	Å³ per atom
theoretical density	4.40	Mg/m³
formation energy	-0.34	eV/atom
offset from the most stable computed form	0.00	eV per formula unit
raw total energy	-3.43	eV per atom

abc: 8.028 8.028 4.310
angles: 90.00 90.00 152.66
Atoms (fractional coordinates):
1 Mg 0.175 0.825 0.750
2 Mg 0.825 0.175 0.250
3 Ga 0.040 0.960 0.250
4 Ga 0.960 0.040 0.750
5 As 0.349 0.651 0.750
6 As 0.651 0.349 0.250

=====

Compound: Mg2GaAs
Source: Alexandria
Functional: PBE-GGA
Structure: relaxed

calculated volume	22.1	Å³ per atom
theoretical density	3.64	Mg/m³
formation energy	-0.37	eV/atom
offset from the most stable computed form	0.02	eV per formula unit
raw total energy	-3.08	eV per atom

abc: 4.265 4.268 11.424
angles: 89.11 79.35 60.10
Atoms (fractional coordinates):
1 Mg 0.000 0.000 0.000
2 Mg 0.192 0.401 0.215
3 Mg 0.574 0.229 0.608
4 Mg 0.774 0.618 0.829
5 Ga 0.365 0.845 0.406
6 Ga 0.997 0.526 0.461
7 As 0.154 0.932 0.756
8 As 0.611 0.690 0.089

=====

Compound: Mg2GaAs
Source: Alexandria
Functional: PBE-GGA
Structure: relaxed

calculated volume	23.8	Å³ per atom
theoretical density	3.37	Mg/m³
formation energy	-0.32	eV/atom
offset from the most stable computed form	0.20	eV per formula unit
raw total energy	-3.04	eV per atom

abc: 7.910 7.910 7.910
angles: 148.55 58.54 131.98
Atoms (fractional coordinates):
1 Mg 0.153 0.000 0.153
2 Mg 0.330 0.491 0.839
3 Mg 0.652 0.491 0.161
4 Mg 0.847 0.000 0.847
5 Ga 0.257 0.257 0.000
6 Ga 0.459 0.959 0.500
7 As 0.564 0.241 0.323
8 As 0.919 0.241 0.677

=====

Compound: Mg2GaAs
Source: Alexandria
Functional: PBE-GGA
Structure: relaxed

calculated volume	23.9	Å³ per atom
theoretical density	3.36	Mg/m³
formation energy	-0.32	eV/atom
offset from the most stable computed form	0.21	eV per formula unit
raw total energy	-3.04	eV per atom

abc: 4.319 4.632 10.006
angles: 101.75 102.44 90.03
Atoms (fractional coordinates):
1 Mg 0.000 0.000 0.000
2 Mg 0.172 0.143 0.333
3 Mg 0.347 0.280 0.681
4 Mg 0.826 0.761 0.640
5 Ga 0.082 0.567 0.174
6 Ga 0.519 0.547 0.049
7 As 0.414 0.841 0.820
8 As 0.760 0.204 0.510

=====

Compound: MgGaAs
Source: Alexandria
Functional: PBE-GGA
Structure: relaxed

calculated volume	21.5	Å³ per atom
theoretical density	4.36	Mg/m³
formation energy	-0.30	eV/atom
offset from the most stable computed form	0.12	eV per formula unit
raw total energy	-3.39	eV per atom

abc: 3.568 4.009 9.004
angles: 90.00 90.00 90.00
Atoms (fractional coordinates):
1 Mg 0.250 0.250 0.133
2 Mg 0.750 0.750 0.867
3 Ga 0.250 0.250 0.544
4 Ga 0.750 0.750 0.456
5 As 0.250 0.250 0.821
6 As 0.750 0.750 0.179

=====

Compound: MgGa2As2
Source: Alexandria
Functional: PBE-GGA
Structure: relaxed

calculated volume	20.2	Å³ per atom
theoretical density	5.16	Mg/m³
formation energy	-0.05	eV/atom
offset from the most stable computed form	0.00	eV per formula unit
raw total energy	-3.44	eV per atom

abc: 7.440 7.440 3.645
angles: 90.00 90.00 90.00
Atoms (fractional coordinates):
1 Mg 0.000 0.000 0.000
2 Mg 0.500 0.500 0.000
3 Ga 0.136 0.364 0.500
4 Ga 0.364 0.864 0.500
5 Ga 0.636 0.136 0.500
6 Ga 0.864 0.636 0.500
7 As 0.169 0.669 0.000
8 As 0.331 0.169 0.000
9 As 0.669 0.831 0.000
10 As 0.831 0.331 0.000

=====

Compound: Mg2GaAs
Source: Alexandria
Functional: PBE-GGA
Structure: relaxed

calculated volume	20.0	Å³ per atom
theoretical density	4.02	Mg/m³
formation energy	-0.17	eV/atom
offset from the most stable computed form	0.83	eV per formula unit
raw total energy	-2.88	eV per atom

abc: 4.833 4.833 4.833
angles: 60.00 60.00 60.00
Atoms (fractional coordinates):
1 Mg 0.250 0.250 0.250
2 Mg 0.750 0.750 0.750
3 Ga 0.000 0.000 0.000
4 As 0.500 0.500 0.500

=====

Compound: Mg2GaAs
Source: Alexandria
Functional: PBE-GGA
Structure: relaxed

calculated volume	20.9	Å³ per atom
theoretical density	3.83	Mg/m³
formation energy	-0.34	eV/atom
offset from the most stable computed form	0.13	eV per formula unit
raw total energy	-3.06	eV per atom

abc: 6.484 6.484 6.880
angles: 90.00 90.00 144.64
Atoms (fractional coordinates):
1 Mg 0.132 0.868 0.504
2 Mg 0.132 0.868 0.996
3 Mg 0.868 0.132 0.004
4 Mg 0.868 0.132 0.496
5 Ga 0.488 0.512 0.750
6 Ga 0.512 0.488 0.250
7 As 0.299 0.701 0.250
8 As 0.701 0.299 0.750